# 1
DFT (PBE) results for an optimized crystal structure of Nb3NiRh2.

abc: 2.799 4.833 7.959
angles: 107.67 100.13 90.00
Element x y z (fractional)
Rh  0.345  0.345  0.690
Rh  0.655  0.655  0.310
Nb  0.823  0.823  0.645
Nb  0.177  0.177  0.355
Nb  0.000  0.500  0.000
Ni  0.000  0.000  0.000

Values from the calculation:
Formation enthalpy at 0 K: 0.401 eV per formula unit

# 2
DFT (PBE) results for an optimized crystal structure of TlIn2Ga3I6.

abc: 4.815 9.699 10.829
angles: 103.52 102.84 90.00
Element x y z (fractional)
Ga  0.166  0.832  0.332
Ga  0.500  0.500  0.000
Ga  0.834  0.168  0.668
Tl  0.500  0.000  0.000
I  0.003  0.738  0.007
I  0.663  0.592  0.326
I  0.337  0.408  0.674
I  0.997  0.262  0.993
I  0.671  0.074  0.343
I  0.329  0.926  0.657
In  0.833  0.667  0.666
In  0.167  0.333  0.334

Values from the calculation:
E_form (uncorrected): -0.430 eV/atom

# 3
DFT (PBE) results for an optimized crystal structure of LaNi3Pd.

abc: 4.623 4.623 4.623
angles: 90.00 90.00 90.00
Last column: magnetic moment on the atom in μB.
Element x y z (fractional)
Ni  0.500  0.000  0.000  0.22
Ni  0.000  0.000  0.500  0.33
Ni  0.000  0.500  0.000  0.28
Pd  0.000  0.000  0.000  0.17
La  0.500  0.500  0.500  -0.03

Values from the calculation:
Polymorph energy (0 for the lowest one): 0 meV/atom
Formation enthalpy at 0 K: 1.771 eV per formula unit

# 4
DFT (PBE) results for an optimized crystal structure of In2MoPt.

abc: 2.961 2.961 8.291
angles: 90.00 90.00 90.00
Last column: magnetic moment on the atom in μB.
Element x y z (fractional)
Pt  0.500  0.500  0.750  -0.01
In  0.000  0.000  0.993  0.00
In  0.000  0.000  0.507  0.00
Mo  0.500  0.500  0.250  0.34

Values from the calculation:
Polymorph energy (0 for the lowest one): 78 meV/atom
Formation enthalpy at 0 K: 0.248 eV per formula unit

# 5
DFT (PBE) results for an optimized crystal structure of Dy4ErSc.

abc: 6.038 6.037 6.045
angles: 99.67 80.35 60.17
Element x y z (fractional)
Dy  0.667  0.666  0.000
Dy  0.333  0.334  0.000
Dy  0.165  0.165  0.500
Dy  0.835  0.835  0.500
Sc  0.000  0.000  0.000
Er  0.500  0.500  0.500

Values from the calculation:
Polymorph energy (0 for the lowest one): 0 meV/atom
Formation enthalpy at 0 K: 0.211 eV per formula unit

# 6
DFT (PBE) results for an optimized crystal structure of Tl3HgRh.

abc: 5.778 5.778 10.097
angles: 73.38 73.38 90.00
Element x y z (fractional)
Tl  0.124  0.875  0.752
Tl  0.296  0.296  0.408
Tl  0.124  0.373  0.752
Tl  0.627  0.876  0.248
Tl  0.125  0.876  0.248
Tl  0.704  0.704  0.592
Hg  0.961  0.461  0.078
Hg  0.539  0.039  0.922
Rh  0.250  0.750  0.500
Rh  0.000  0.000  0.000

Values from the calculation:
Polymorph energy (0 for the lowest one): 209 meV/atom
Formation enthalpy at 0 K: 0.933 eV per formula unit

# 7
DFT (PBE) results for an optimized crystal structure of MgScNi2.

abc: 5.077 5.077 5.077
angles: 136.20 137.83 62.42
Element x y z (fractional)
Mg  0.252  0.752  0.500
Ni  0.002  0.002  0.000
Ni  0.747  0.247  0.500
Sc  0.498  0.498  0.000

Values from the calculation:
Formation enthalpy at 0 K: -1.016 eV per formula unit

# 8
DFT (PBE) results for an optimized crystal structure of TlCo2Si.

abc: 4.279 4.279 4.279
angles: 60.00 60.00 60.00
Last column: magnetic moment on the atom in μB.
Element x y z (fractional)
Si  0.000  0.000  0.000  0.00
Tl  0.500  0.500  0.500  -0.02
Co  0.250  0.250  0.250  0.68
Co  0.750  0.750  0.750  0.68

Values from the calculation:
E_form (uncorrected): 0.335 eV/atom
Polymorph energy (0 for the lowest one): 302 meV/atom

no.,volume (Å³/atom),calculated total energy (Ha/atom)
1,16.80,-0.3080
2,39.89,-0.0961
3,19.76,-0.1888
4,18.18,-0.2030
5,30.02,-0.1782
6,30.82,-0.1016
7,15.02,-0.1884
8,13.85,-0.1898